(1)
{
  "formula": "InSnI2Cl",
  "functional": "PBE",
  "state": "optimized geometry",
  "lattice_angstrom": [[2.296, -7.596, 0.000], [2.296, 7.596, 0.000], [0.000, 0.000, 10.831]],
  "species": ["In", "In", "Sn", "Sn", "I", "I", "I", "I", "Cl", "Cl"],
  "frac_coords": [[0.217, 0.783, 0.750], [0.783, 0.217, 0.250], [0.500, 0.500, 0.000], [0.500, 0.500, 0.500], [0.141, 0.859, 0.059], [0.141, 0.859, 0.441], [0.859, 0.141, 0.559], [0.859, 0.141, 0.941], [0.431, 0.569, 0.250], [0.569, 0.431, 0.750]],
  "relative_energy_ev_per_atom": 0.000,
  "space_group": "Cmcm",
  "dos_at_fermi_per_ev_cell": 0.00,
  "magmom_total_mub_per_fu": 0.00,
  "rho_g_cm3": 4.60,
  "e_form_raw_ev_per_atom": -0.629
}

=====

(2)
{
  "formula": "Tl2HgBr",
  "functional": "PBE",
  "state": "optimized geometry",
  "lattice_angstrom": [[-2.566, 2.566, 4.804], [2.566, -2.566, 4.804], [2.566, 2.566, -4.804]],
  "species": ["Tl", "Tl", "Hg", "Br"],
  "frac_coords": [[0.250, 0.750, 0.500], [0.750, 0.250, 0.500], [0.000, 0.000, 0.000], [0.500, 0.500, 0.000]],
  "relative_energy_ev_per_atom": 0.046,
  "space_group": "I4/mmm",
  "dos_at_fermi_per_ev_cell": 1.39,
  "magmom_total_mub_per_fu": 0.00,
  "rho_g_cm3": 9.05,
  "e_form_raw_ev_per_atom": -0.314
}

=====

(3)
{
  "formula": "Cd2GeTeBr",
  "functional": "PBE",
  "state": "optimized geometry",
  "lattice_angstrom": [[5.498, 0.000, 0.000], [0.000, 5.498, 0.000], [0.000, 0.000, 5.360]],
  "species": ["Cd", "Cd", "Ge", "Te", "Br"],
  "frac_coords": [[0.000, 0.500, 0.000], [0.500, 0.000, 0.000], [0.000, 0.000, 0.500], [0.500, 0.500, 0.500], [0.000, 0.000, 0.000]],
  "space_group": "P4/mmm",
  "dos_at_fermi_per_ev_cell": 2.92,
  "magmom_total_mub_per_fu": 0.00,
  "rho_g_cm3": 5.17,
  "e_form_raw_ev_per_atom": 0.524
}

=====

(4)
{
  "formula": "Tm4SnPbN",
  "functional": "PBE",
  "state": "optimized geometry",
  "lattice_angstrom": [[3.289, -7.894, 0.000], [3.289, 7.894, 0.000], [0.000, 0.000, 6.575]],
  "species": ["Tm", "Tm", "Tm", "Tm", "Tm", "Tm", "Tm", "Tm", "Sn", "Sn", "Pb", "Pb", "N", "N"],
  "frac_coords": [[0.000, 0.500, 0.000], [0.000, 0.500, 0.500], [0.092, 0.908, 0.750], [0.406, 0.594, 0.750], [0.500, 0.000, 0.000], [0.500, 0.000, 0.500], [0.594, 0.406, 0.250], [0.908, 0.092, 0.250], [0.108, 0.892, 0.250], [0.892, 0.108, 0.750], [0.395, 0.605, 0.250], [0.605, 0.395, 0.750], [0.251, 0.749, 0.750], [0.749, 0.251, 0.250]],
  "space_group": "Cmcm",
  "dos_at_fermi_per_ev_cell": 8.02,
  "magmom_total_mub_per_fu": 0.00,
  "rho_g_cm3": 9.88,
  "e_form_raw_ev_per_atom": -0.916
}

=====

(5)
{
  "formula": "KLiBeRh2",
  "functional": "PBE",
  "state": "optimized geometry",
  "lattice_angstrom": [[4.772, 0.000, 0.000], [0.000, 4.772, 0.000], [0.000, 0.000, 4.795]],
  "species": ["K", "Li", "Be", "Rh", "Rh"],
  "frac_coords": [[0.000, 0.000, 0.000], [0.500, 0.500, 0.500], [0.000, 0.000, 0.500], [0.000, 0.500, 0.000], [0.500, 0.000, 0.000]],
  "space_group": "P4/mmm",
  "dos_at_fermi_per_ev_cell": 2.54,
  "magmom_total_mub_per_fu": 0.00,
  "rho_g_cm3": 3.97,
  "formation_enthalpy_0k_ev_per_atom": 1.94
}

=====

(6)
{
  "formula": "CoCuSnCl6",
  "functional": "PBE",
  "state": "optimized geometry",
  "lattice_angstrom": [[3.337, -5.222, 0.000], [3.337, 5.222, 0.000], [-0.499, 0.000, 6.008]],
  "species": ["Co", "Cu", "Sn", "Cl", "Cl", "Cl", "Cl", "Cl", "Cl"],
  "frac_coords": [[0.000, 0.000, 0.000], [0.658, 0.342, 0.000], [0.329, 0.671, 0.500], [0.293, 0.279, 0.816], [0.303, 0.004, 0.241], [0.712, 0.041, 0.772], [0.721, 0.707, 0.184], [0.959, 0.288, 0.228], [0.996, 0.697, 0.759]],
  "space_group": "C2",
  "dos_at_fermi_per_ev_cell": 5.52,
  "magmom_total_mub_per_fu": 0.59,
  "rho_g_cm3": 3.60,
  "e_form_raw_ev_per_atom": -0.620
}

=====

(7)
{
  "formula": "HfZn3Pt",
  "functional": "PBE",
  "state": "optimized geometry",
  "lattice_angstrom": [[8.745, 0.000, 0.000], [0.000, 3.233, 0.000], [0.000, 0.000, 11.910]],
  "species": ["Hf", "Hf", "Hf", "Hf", "Zn", "Zn", "Zn", "Zn", "Zn", "Zn", "Zn", "Zn", "Zn", "Zn", "Zn", "Zn", "Pt", "Pt", "Pt", "Pt"],
  "frac_coords": [[0.154, 0.250, 0.018], [0.346, 0.750, 0.518], [0.654, 0.250, 0.482], [0.846, 0.750, 0.982], [0.083, 0.250, 0.421], [0.086, 0.750, 0.223], [0.154, 0.750, 0.815], [0.346, 0.250, 0.315], [0.414, 0.250, 0.723], [0.417, 0.750, 0.921], [0.583, 0.250, 0.079], [0.586, 0.750, 0.277], [0.654, 0.750, 0.685], [0.846, 0.250, 0.185], [0.914, 0.250, 0.777], [0.917, 0.750, 0.579], [0.144, 0.250, 0.637], [0.356, 0.750, 0.137], [0.644, 0.250, 0.863], [0.856, 0.750, 0.363]],
  "relative_energy_ev_per_atom": 0.000,
  "space_group": "Pnma",
  "dos_at_fermi_per_ev_cell": 11.38,
  "magmom_total_mub_per_fu": 0.00,
  "rho_g_cm3": 11.24,
  "formation_enthalpy_0k_ev_per_atom": -0.36
}

=====

(8)
{
  "formula": "CsRbN2F",
  "functional": "PBE",
  "state": "optimized geometry",
  "lattice_angstrom": [[5.573, 0.000, 0.000], [0.000, 5.573, 0.000], [0.000, 0.000, 5.219]],
  "species": ["Cs", "Rb", "N", "N", "F"],
  "frac_coords": [[0.000, 0.000, 0.000], [0.500, 0.500, 0.500], [0.000, 0.500, 0.500], [0.500, 0.000, 0.500], [0.500, 0.500, 0.000]],
  "relative_energy_ev_per_atom": 0.000,
  "space_group": "P4/mmm",
  "dos_at_fermi_per_ev_cell": 2.25,
  "magmom_total_mub_per_fu": 5.00,
  "rho_g_cm3": 2.72,
  "e_form_raw_ev_per_atom": 0.607
}

=====

(9)
{
  "formula": "Er3Pu2UN6",
  "functional": "PBE",
  "state": "optimized geometry",
  "lattice_angstrom": [[2.989, -5.177, 0.000], [2.989, 5.177, 0.000], [-1.994, 0.000, 5.621]],
  "species": ["Er", "Er", "Er", "Pu", "Pu", "U", "N", "N", "N", "N", "N", "N"],
  "frac_coords": [[0.000, 0.000, 0.000], [0.332, 0.668, 0.000], [0.668, 0.332, 0.000], [0.166, 0.834, 0.500], [0.834, 0.166, 0.500], [0.500, 0.500, 0.500], [0.098, 0.418, 0.254], [0.261, 0.261, 0.742], [0.418, 0.098, 0.254], [0.582, 0.902, 0.746], [0.739, 0.739, 0.258], [0.902, 0.582, 0.746]],
  "space_group": "C2/m",
  "dos_at_fermi_per_ev_cell": 14.06,
  "magmom_total_mub_per_fu": 11.07,
  "rho_g_cm3": 12.52,
  "e_form_raw_ev_per_atom": -1.526
}

=====

(10)
{
  "formula": "BeTeH2",
  "functional": "PBE",
  "state": "optimized geometry",
  "lattice_angstrom": [[-2.540, 2.540, 3.621], [2.540, -2.540, 3.621], [2.540, 2.540, -3.621]],
  "species": ["Be", "Be", "Te", "Te", "H", "H", "H", "H"],
  "frac_coords": [[0.375, 0.625, 0.750], [0.625, 0.375, 0.250], [0.125, 0.875, 0.250], [0.875, 0.125, 0.750], [0.000, 0.500, 0.500], [0.500, 0.000, 0.000], [0.500, 0.500, 0.000], [0.500, 0.500, 0.500]],
  "relative_energy_ev_per_atom": 0.000,
  "space_group": "I4_1/amd",
  "dos_at_fermi_per_ev_cell": 2.70,
  "magmom_total_mub_per_fu": 0.00,
  "rho_g_cm3": 4.93
}

=====

(11)
{
  "formula": "SrNbTe2",
  "functional": "PBE",
  "state": "optimized geometry",
  "lattice_angstrom": [[3.614, 0.000, 0.000], [0.000, 3.614, 0.000], [0.000, 0.000, 7.824]],
  "species": ["Sr", "Nb", "Te", "Te"],
  "frac_coords": [[0.000, 0.000, 0.000], [0.000, 0.000, 0.500], [0.500, 0.500, 0.291], [0.500, 0.500, 0.709]],
  "relative_energy_ev_per_atom": 0.000,
  "space_group": "P4/mmm",
  "dos_at_fermi_per_ev_cell": 2.52,
  "magmom_total_mub_per_fu": 0.00,
  "rho_g_cm3": 7.08,
  "e_form_raw_ev_per_atom": -0.554
}

=====

(12)
{
  "formula": "Ca2C",
  "functional": "PBE",
  "state": "optimized geometry",
  "lattice_angstrom": [[-1.711, 3.811, 5.868], [1.711, -3.811, 5.868], [1.711, 3.811, -5.868]],
  "species": ["Ca", "Ca", "Ca", "Ca", "C", "C"],
  "frac_coords": [[0.233, 0.233, 0.000], [0.248, 0.000, 0.248], [0.752, 0.000, 0.752], [0.767, 0.767, 0.000], [0.057, 0.557, 0.500], [0.943, 0.443, 0.500]],
  "relative_energy_ev_per_atom": 0.000,
  "space_group": "Immm",
  "dos_at_fermi_per_ev_cell": 3.12,
  "magmom_total_mub_per_fu": 0.00,
  "rho_g_cm3": 2.00,
  "formation_enthalpy_0k_ev_per_atom": 0.03
}